Material: LaAs2RuBr
Method: DFT, PBE
State: relaxed

Unit cell a=5.719 b=5.719 c=5.644 alpha=90.00 beta=90.00 gamma=90.00
Atoms (fractional coordinates):
1 La 0.000 0.000 0.000
2 As 0.000 0.500 0.000
3 As 0.500 0.000 0.000
4 Ru 0.500 0.500 0.500
5 Br 0.000 0.000 0.500

Crystal system: tetragonal
Offset from the most stable computed form, kJ/mol of formula units: 623

---

Material: La4AsRuBr2
Method: DFT, PBE
State: relaxed

Unit cell a=7.636 b=4.218 c=7.914 alpha=90.00 beta=106.09 gamma=90.00
Atoms (fractional coordinates):
1 La 0.221 0.000 0.204
2 La 0.243 0.500 0.800
3 La 0.757 0.500 0.200
4 La 0.779 0.000 0.796
5 As 0.500 0.000 0.000
6 Ru 0.000 0.500 0.000
7 Br 0.000 0.000 0.500
8 Br 0.500 0.500 0.500

Crystal system: monoclinic

---

Material: LaAs2RuBr
Method: DFT, PBE
State: relaxed

Unit cell a=4.787 b=4.787 c=5.226 alpha=90.00 beta=90.00 gamma=90.00
Atoms (fractional coordinates):
1 La 0.000 0.000 0.000
2 As 0.000 0.500 0.500
3 As 0.500 0.000 0.500
4 Ru 0.500 0.500 0.500
5 Br 0.500 0.500 0.000

Crystal system: tetragonal
Offset from the most stable computed form, kJ/mol of formula units: 0

---

Material: La6AsRu2Br3
Method: DFT, PBE
State: relaxed

Unit cell a=7.378 b=7.378 c=8.152 alpha=99.10 beta=99.10 gamma=119.67
Atoms (fractional coordinates):
1 La 0.085 0.440 0.798
2 La 0.212 0.212 0.199
3 La 0.440 0.085 0.798
4 La 0.560 0.915 0.202
5 La 0.788 0.788 0.801
6 La 0.915 0.560 0.202
7 As 0.500 0.500 0.000
8 Ru 0.168 0.832 0.000
9 Ru 0.832 0.168 0.000
10 Br 0.000 0.000 0.500
11 Br 0.338 0.662 0.500
12 Br 0.662 0.338 0.500

Crystal system: monoclinic

---

Short version: energy = -4.11, -5.84, -5.40, -5.93 eV/atom, in the order given.